Record 1
# YAg3Cl6

A relaxed YAg3Cl6 crystal (GGA-PBE, Alexandria via LeMat-Bulk).

Properties
**E**: -113.014 eV for the cell shown

Cell and atoms, written as CIF:
```
data_YAg3Cl6
_cell_length_a 6.9871
_cell_length_b 6.9871
_cell_length_c 18.4701
_cell_angle_alpha 90.00
_cell_angle_beta 90.00
_cell_angle_gamma 120.00
_symmetry_space_group_name_H-M 'R -3'
_symmetry_Int_Tables_number 148
_symmetry_space_group_name_Hall '-R 3'
loop_
_atom_site_label
_atom_site_type_symbol
_atom_site_fract_x
_atom_site_fract_y
_atom_site_fract_z
_atom_site_occupancy
Y1 Y 0.0000 0.0000 0.0000 1
Ag1 Ag 0.0000 0.0000 0.2045 1
Ag2 Ag 0.0000 0.0000 0.5000 1
Cl1 Cl 0.0174 0.7017 0.0852 1
```

---

Record 2
# YAg4Cl

A relaxed YAg4Cl crystal (GGA-PBE, Alexandria via LeMat-Bulk).

Properties
**E**: -82.655 eV for the cell shown

Cell and atoms, written as CIF:
```
data_YAg4Cl
_cell_length_a 7.974
_cell_length_b 7.974
_cell_length_c 7.974
_cell_angle_alpha 90.00
_cell_angle_beta 90.00
_cell_angle_gamma 90.00
_symmetry_space_group_name_H-M 'F -4 3 m'
_symmetry_Int_Tables_number 216
_symmetry_space_group_name_Hall 'F -4 2 3'
loop_
_atom_site_label
_atom_site_type_symbol
_atom_site_fract_x
_atom_site_fract_y
_atom_site_fract_z
_atom_site_occupancy
Y1 Y 0.000 0.000 0.000 1
Ag1 Ag 0.125 0.125 0.625 1
Cl1 Cl 0.250 0.250 0.250 1
```